First-principles (PBE) data for SmAgPbSe3 after structural relaxation, as listed in OQMD via LeMat-Bulk.

Properties
Its calculated volume is 26.075 A^3/atom. Its spin magnetization is 0.0 μB per cell. As for the excess energy over the best structure of this formula in the dataset: 24.3 meV/atom.

Unit cell a=8.5478 b=4.3517 c=16.8236 alpha=90.00 beta=90.00 gamma=90.00
With the nearest neighbours (Å) after each atom.
Element x y z (fractional)
1 Ag 0.6218 0.2500 0.1365  4 Se 2.63-2.67
2 Ag 0.1218 0.2500 0.3635  4 Se 2.63-2.67
3 Ag 0.8782 0.7500 0.6365  4 Se 2.63-2.67
4 Ag 0.3782 0.7500 0.8635  4 Se 2.63-2.67
5 Pb 0.9271 0.7500 0.2268  5 Se 3.13-3.16
6 Pb 0.4271 0.7500 0.2732  5 Se 3.13-3.16
7 Pb 0.5729 0.2500 0.7268  5 Se 3.13-3.16
8 Pb 0.0729 0.2500 0.7732  5 Se 3.13-3.16
9 Se 0.8905 0.2500 0.0601  1 Ag 2.63, 2 Sm 2.93
10 Se 0.4690 0.7500 0.0885  2 Ag 2.66
11 Se 0.1906 0.2500 0.2086  1 Ag 2.67, 1 Sm 2.98
12 Se 0.6906 0.2500 0.2914  1 Ag 2.67, 1 Sm 2.98
13 Se 0.9690 0.7500 0.4115  2 Ag 2.66
14 Se 0.3905 0.2500 0.4399  1 Ag 2.63, 2 Sm 2.93
15 Se 0.6095 0.7500 0.5601  1 Ag 2.63, 2 Sm 2.93
16 Se 0.0310 0.2500 0.5885  2 Ag 2.66
17 Se 0.3094 0.7500 0.7086  1 Ag 2.67, 1 Sm 2.98
18 Se 0.8094 0.7500 0.7914  1 Ag 2.67, 1 Sm 2.98
19 Se 0.5310 0.2500 0.9115  2 Ag 2.66
20 Se 0.1095 0.7500 0.9399  1 Ag 2.63, 2 Sm 2.93
21 Sm 0.2453 0.2500 0.0336  7 Se 2.93-3.19
22 Sm 0.7453 0.2500 0.4664  7 Se 2.93-3.19
23 Sm 0.2547 0.7500 0.5336  7 Se 2.93-3.19
24 Sm 0.7547 0.7500 0.9664  7 Se 2.93-3.19